# 1
The following is a PBE-GGA calculation of MgSi2Rh after structural relaxation, from the Alexandria database.

Formation energy without anion corrections: -0.27 eV/atom

Cell lengths 3.1799, 3.1988, 5.9600 Å; angles 90.00, 90.00, 90.00 degrees
Space group Pmm2 (No. 25)
One atom of each set of equivalent atoms:
Mg  0.0000  0.0000  0.0000 [1 per cell]
Si  0.0000  0.0000  0.4923 [1 per cell]
Si  0.5000  0.5000  0.7172 [1 per cell]
Rh  0.5000  0.5000  0.3048 [1 per cell]

---

# 2
The following is a PBE-GGA calculation of GaAgSn2 after structural relaxation, from the Alexandria database.

Calculated formation energy: 0.14 eV/atom

Cell lengths 7.9243, 7.9243, 6.1063 Å; angles 90.00, 90.00, 90.00 degrees
Space group I-42d (No. 122)
One atom of each set of equivalent atoms:
Ga  0.0000  0.0000  0.0000 [4 per cell]
Ag  0.0000  0.0000  0.5000 [4 per cell]
Sn  0.2477  0.2500  0.6250 [8 per cell]

---

# 3
The following is a PBE-GGA calculation of Ce2PuSi6 after structural relaxation, from the Alexandria database.

Formation energy without anion corrections: -0.60 eV/atom
E above lowest polymorph: 0.0000 eV/atom

Cell lengths 7.0262, 7.0262, 4.0624 Å; angles 90.00, 90.00, 120.00 degrees
Space group P6/mmm (No. 191)
One atom of each set of equivalent atoms:
Ce  0.3333  0.6667  0.0000 [2 per cell]
Pu  0.0000  0.0000  0.0000 [1 per cell]
Si  0.0000  0.3321  0.5000 [6 per cell]

---

# 4
The following is a PBE-GGA calculation of Ho2TiTl3Te6 after structural relaxation, from the Alexandria database.

Formation energy without anion corrections: -0.84 eV/atom

Cell lengths 7.5011, 12.9665, 8.5401 Å; angles 90.00, 107.06, 90.00 degrees
Space group C2/m (No. 12)
One atom of each set of equivalent atoms:
Ho  0.0000  0.1650  0.0000 [4 per cell]
Ti  0.0000  0.5000  0.0000 [2 per cell]
Tl  0.0000  0.0000  0.5000 [2 per cell]
Tl  0.0000  0.3257  0.5000 [4 per cell]
Te  0.2250  0.3427  0.2048 [8 per cell]
Te  0.2441  0.5000  0.7884 [4 per cell]

---

# 5
The following is a PBE-GGA calculation of Tm3Sc after structural relaxation, from the Alexandria database.

Calculated formation energy: 0.01 eV/atom
E above lowest polymorph: 0.0000 eV/atom

Cell lengths 6.9942, 6.9942, 5.4402 Å; angles 90.00, 90.00, 120.00 degrees
Space group P6_3/mmc (No. 194)
One atom of each set of equivalent atoms:
Tm  0.1685  0.3371  0.2500 [6 per cell]
Sc  0.3333  0.6667  0.7500 [2 per cell]

---

# 6
The following is a PBE-GGA calculation of ZrSc2Bi after structural relaxation, from the Alexandria database.

Calculated formation energy: -0.28 eV/atom

Cell lengths 3.7831, 3.7831, 6.7096 Å; angles 90.00, 90.00, 90.00 degrees
Space group P4/mmm (No. 123)
One atom of each set of equivalent atoms:
Zr  0.0000  0.0000  0.0000 [1 per cell]
Sc  0.5000  0.5000  0.2547 [2 per cell]
Bi  0.0000  0.0000  0.5000 [1 per cell]

---

Energy values (in eV/atom) by entry order: -5.22, -3.33, -7.12, -4.43, -4.93, -6.55.
M_tot values (in μB/atom) by entry order: 0.0000, 0.0000, 0.4731, 0.0846, 0.0113, 0.0006.